Compound: Sm4AlOs
Source: Alexandria
Functional: GGA-PBE
Structure: relaxed

Calculated formation energy in eV/atom: -0.2016
Energy relative to the lowest polymorph listed for this composition in meV/atom: 35
Total magnetic moment in μB/f.u.: 0.00
Raw total energy in eV per atom: -5.843

Structure (CIF):
```
data_Sm4AlOs
_chemical_formula_sum 'Sm16 Al4 Os4'
_space_group_name_H-M_alt 'C 1 2/c 1'
_space_group_IT_number 15
_cell_length_a 8.706
_cell_length_b 13.257
_cell_length_c 6.206
_cell_angle_alpha 90.00
_cell_angle_beta 107.97
_cell_angle_gamma 90.00
loop_
_space_group_symop_operation_xyz
'x,y,z'
'-x,-y,-z'
'-x,y,-z+1/2'
'x,-y,z+1/2'
'x+1/2,y+1/2,z'
'-x+1/2,-y+1/2,-z'
'-x+1/2,y+1/2,-z+1/2'
'x+1/2,-y+1/2,z+1/2'
loop_
_atom_site_label
_atom_site_type_symbol
_atom_site_fract_x
_atom_site_fract_y
_atom_site_fract_z
_atom_site_occupancy
Sm1 Sm 0.110 0.171 0.048 1
Sm2 Sm 0.213 0.425 0.392 1
Al1 Al 0.000 0.376 0.750 1
Os1 Os 0.000 0.001 0.250 1
```

---

Compound: In3TcC
Source: Alexandria
Functional: GGA-PBE
Structure: relaxed

Calculated formation energy in eV/atom: 1.6136
Energy relative to the lowest polymorph listed for this composition in meV/atom: 339
Total magnetic moment in μB/f.u.: 2.62
Raw total energy in eV per atom: -3.947

Structure (CIF):
```
data_In3TcC
_chemical_formula_sum 'In3 Tc1 C1'
_space_group_name_H-M_alt 'P m -3 m'
_space_group_IT_number 221
_space_group_name_Hall '-P 4 2 3'
_cell_length_a 5.202
_cell_length_b 5.202
_cell_length_c 5.202
_cell_angle_alpha 90.00
_cell_angle_beta 90.00
_cell_angle_gamma 90.00
loop_
_atom_site_label
_atom_site_type_symbol
_atom_site_fract_x
_atom_site_fract_y
_atom_site_fract_z
_atom_site_occupancy
In1 In 0.000 0.000 0.500 1
Tc1 Tc 0.000 0.000 0.000 1
C1 C 0.500 0.500 0.500 1
```

---

Compound: Ce12TmOs6
Source: Alexandria
Functional: GGA-PBE
Structure: relaxed

Calculated formation energy in eV/atom: -0.0116
Total magnetic moment in μB/f.u.: 0.00
Raw total energy in eV per atom: -7.541

Structure (CIF):
```
data_Ce12TmOs6
_chemical_formula_sum 'Ce36 Tm3 Os18'
_space_group_name_H-M_alt 'R -3 m'
_space_group_IT_number 166
_space_group_name_Hall '-R 3 2"'
_cell_length_a 13.0247
_cell_length_b 13.0247
_cell_length_c 9.8519
_cell_angle_alpha 90.00
_cell_angle_beta 90.00
_cell_angle_gamma 120.00
loop_
_atom_site_label
_atom_site_type_symbol
_atom_site_fract_x
_atom_site_fract_y
_atom_site_fract_z
_atom_site_occupancy
Ce1 Ce 0.0000 0.3913 0.0000 1
Ce2 Ce 0.0855 0.1710 0.8395 1
Tm1 Tm 0.0000 0.0000 0.5000 1
Os1 Os 0.0409 0.5205 0.7418 1
```